A plane-wave DFT calculation with PBE was carried out for an optimized crystal structure of CuTcTe2.

Computed properties:
As for the formation energy (no corrections): 0.19 eV per atom. The value obtained for the volume is 94.5 Å³/f.u. The calculation puts the total moment at 1.61 μB per formula unit. Its space-group type is R3m.

a = 7.1449 Å, b = 7.1449 Å, c = 7.1449 Å
α = 32.67°, β = 32.67°, γ = 32.67°
Last column: magnetic moment on the atom in μB.
Positions (direct):
Cu: 0.4896 0.4896 0.4896  0.04
Te: 0.2087 0.2087 0.2087  0.03
Tc: 0.7719 0.7719 0.7719  1.44
Te: 0.0298 0.0298 0.0298  -0.05

A plane-wave DFT calculation with PBE was carried out for an optimized crystal structure of Sb2PRh.

Computed properties:
As for the formation energy (no corrections): -0.10 eV per atom. The value obtained for the volume is 88.4 Å³/f.u. The calculation puts the total moment at 0.00 μB per formula unit. Its space-group type is Cm.

a = 4.2788 Å, b = 4.2788 Å, c = 6.2861 Å
α = 80.05°, β = 80.05°, γ = 51.52°
Positions (direct):
Rh: 0.2515 0.2515 0.3349
Sb: 0.7198 0.7198 0.6956
P: 0.5458 0.5458 0.3951
Sb: 0.9830 0.9830 0.0744

A plane-wave DFT calculation with PBE was carried out for an optimized crystal structure of InHgBi2O.

Computed properties:
As for the formation energy (no corrections): -0.15 eV per atom. The value obtained for the volume is 126.4 Å³/f.u. The calculation puts the total moment at 0.00 μB per formula unit. Its space-group type is P4/mmm.

a = 4.9514 Å, b = 4.9514 Å, c = 5.1560 Å
α = 90.00°, β = 90.00°, γ = 90.00°
Positions (direct):
Hg: 0.5000 0.5000 0.5000
Bi: 0.0000 0.5000 0.0000
O: 0.0000 0.0000 0.0000
In: 0.0000 0.0000 0.5000
Bi: 0.5000 0.0000 0.0000

A plane-wave DFT calculation with PBE was carried out for an optimized crystal structure of La5Bi2Pb2.

Computed properties:
Its energy relative to the elements is -0.80 eV/atom. The value obtained for the volume is 314.1 Å³/f.u. The calculation puts the total moment at 0.00 μB per formula unit. Its space-group type is Cmce.

a = 8.7616 Å, b = 8.7017 Å, c = 9.3187 Å
α = 117.83°, β = 90.00°, γ = 90.00°
Positions (direct):
Pb: 0.3663 0.1333 0.0000
La: 0.3329 0.9654 0.2722
Pb: 0.6337 0.8667 0.0000
La: 0.0000 0.0000 0.0000
Bi: 0.0000 0.2037 0.4075
La: 0.6671 0.0346 0.7278
La: 0.1671 0.4654 0.2722
La: 0.3329 0.6932 0.7278
La: 0.5000 0.5000 0.0000
Pb: 0.1337 0.6333 0.0000
La: 0.8329 0.8068 0.2722
Bi: 0.5000 0.2963 0.5925
Bi: 0.5000 0.7037 0.4075
Bi: 0.0000 0.7963 0.5925
La: 0.8329 0.5346 0.7278
La: 0.6671 0.3068 0.2722
Pb: 0.8663 0.3667 0.0000
La: 0.1671 0.1932 0.7278

A plane-wave DFT calculation with PBE was carried out for an optimized crystal structure of AlTe2WI.

Computed properties:
As for the formation energy (no corrections): 1.22 eV per atom. The value obtained for the volume is 150.8 Å³/f.u. The calculation puts the total moment at 3.61 μB per formula unit. Its space-group type is P4/mmm.

a = 5.3926 Å, b = 5.3926 Å, c = 5.1871 Å
α = 90.00°, β = 90.00°, γ = 90.00°
Last column: magnetic moment on the atom in μB.
Positions (direct):
I: 0.0000 0.0000 0.5000  -0.02
W: 0.5000 0.5000 0.5000  3.14
Al: 0.0000 0.0000 0.0000  0.00
Te: 0.5000 0.0000 0.0000  -0.22
Te: 0.0000 0.5000 0.0000  -0.22

A plane-wave DFT calculation with PBE was carried out for an optimized crystal structure of Nb2SnC.

Computed properties:
Its energy relative to the elements is -0.38 eV/atom. The value obtained for the volume is 65.5 Å³/f.u. The calculation puts the total moment at 0.00 μB per formula unit. Its space-group type is C2/m.

a = 3.1988 Å, b = 3.2518 Å, c = 7.6382 Å
α = 106.17°, β = 90.00°, γ = 119.46°
Positions (direct):
Nb: 0.2623 0.0247 0.3383
C: 0.0000 0.5000 0.5000
Nb: 0.7377 0.9753 0.6617
Sn: 0.5000 0.5000 0.0000

Question: Which value of total moment does entry 2 give?
Answer: 0.00 μB per formula unit

Question: What is the total moment in the second record?
Answer: 0.00 μB per formula unit

Repeat the sixth record exactly.
A plane-wave DFT calculation with PBE was carried out for an optimized crystal structure of Nb2SnC.

Computed properties:
Its energy relative to the elements is -0.38 eV/atom. The value obtained for the volume is 65.5 Å³/f.u. The calculation puts the total moment at 0.00 μB per formula unit. Its space-group type is C2/m.

a = 3.1988 Å, b = 3.2518 Å, c = 7.6382 Å
α = 106.17°, β = 90.00°, γ = 119.46°
Positions (direct):
Nb: 0.2623 0.0247 0.3383
C: 0.0000 0.5000 0.5000
Nb: 0.7377 0.9753 0.6617
Sn: 0.5000 0.5000 0.0000